Below is an optimized crystal structure of Tb2SmDy5, with properties calculated at the PBE level.

Output
Volume in A^3/atom: 31.808
DOS(E_F) in states/eV/atom: 1.2026
Symmetry: Pbam (55)
Size of the total moment in μB per cell: 0.0
Energy above the lowest structure with this stoichiometry in kJ/mol of formula units: 0

a b c (Å): 7.1196 14.2400 5.0199
angles (deg): 90.00 90.00 90.00
Last column: nearest neighbours and their distance in Å.
Atoms (fractional coordinates):
Tb (0.2501, 0.1253, 0.0000)  10 Dy 3.55-3.57, 2 Sm 3.56
Tb (0.2499, 0.6253, 0.0000)  10 Dy 3.55-3.57, 2 Sm 3.56
Tb (0.7501, 0.3747, 0.0000)  10 Dy 3.55-3.57, 2 Sm 3.56
Tb (0.7499, 0.8747, 0.0000)  10 Dy 3.55-3.57, 2 Sm 3.56
Sm (0.0000, 0.0000, 0.5000)  4 Tb 3.56, 8 Dy 3.56-3.57
Sm (0.5000, 0.5000, 0.5000)  4 Tb 3.56, 8 Dy 3.56-3.57
Dy (0.9996, 0.2505, 0.5000)  7 Dy 3.55-3.56, 4 Tb 3.55-3.56, 1 Sm 3.57
Dy (0.0000, 0.5000, 0.5000)  6 Dy 3.55-3.56, 4 Tb 3.56, 2 Sm 3.56
Dy (0.0004, 0.7495, 0.5000)  7 Dy 3.55-3.56, 4 Tb 3.55-3.56, 1 Sm 3.57
Dy (0.2495, 0.3744, 0.0000)  6 Dy 3.55-3.56, 4 Tb 3.55-3.57, 2 Sm 3.56
Dy (0.2505, 0.8744, 0.0000)  6 Dy 3.55-3.56, 4 Tb 3.55-3.57, 2 Sm 3.56
Dy (0.5000, 0.0000, 0.5000)  6 Dy 3.55-3.56, 4 Tb 3.56, 2 Sm 3.56
Dy (0.4996, 0.2495, 0.5000)  7 Dy 3.55-3.56, 4 Tb 3.55-3.56, 1 Sm 3.57
Dy (0.5004, 0.7505, 0.5000)  7 Dy 3.55-3.56, 4 Tb 3.55-3.56, 1 Sm 3.57
Dy (0.7495, 0.1256, 0.0000)  6 Dy 3.55-3.56, 4 Tb 3.55-3.57, 2 Sm 3.56
Dy (0.7505, 0.6256, 0.0000)  6 Dy 3.55-3.56, 4 Tb 3.55-3.57, 2 Sm 3.56

=====

Below is an optimized crystal structure of TbSmDy6, with properties calculated at the PBE level.

Output
Volume in A^3/atom: 31.745
DOS(E_F) in states/eV/atom: 1.4859
Symmetry: P4/mmm (123)
Size of the total moment in μB per cell: 0.0
Energy above the lowest structure with this stoichiometry in kJ/mol of formula units: 0

a b c (Å): 5.0270 5.0270 10.0494
angles (deg): 90.00 90.00 90.00
Last column: nearest neighbours and their distance in Å.
Atoms (fractional coordinates):
Tb (0.0000, 0.0000, 0.0000)  12 Dy 3.55
Sm (0.0000, 0.0000, 0.5000)  12 Dy 3.55-3.56
Dy (0.0000, 0.5000, 0.2489)  8 Dy 3.55-3.56, 2 Tb 3.55, 2 Sm 3.56
Dy (0.0000, 0.5000, 0.7511)  8 Dy 3.55-3.56, 2 Tb 3.55, 2 Sm 3.56
Dy (0.5000, 0.0000, 0.2489)  8 Dy 3.55-3.56, 2 Tb 3.55, 2 Sm 3.56
Dy (0.5000, 0.0000, 0.7511)  8 Dy 3.55-3.56, 2 Tb 3.55, 2 Sm 3.56
Dy (0.5000, 0.5000, 0.0000)  8 Dy 3.55, 4 Tb 3.55
Dy (0.5000, 0.5000, 0.5000)  4 Sm 3.55, 8 Dy 3.56

=====

Below is an optimized crystal structure of TbSm2Dy, with properties calculated at the PBE level.

Output
Volume in A^3/atom: 32.916
DOS(E_F) in states/eV/atom: 2.1826
Symmetry: Imm2 (44)
Size of the total moment in μB per cell: 0.0
Energy above the lowest structure with this stoichiometry in kJ/mol of formula units: 42

a b c (Å): 6.9327 6.9327 6.9327
angles (deg): 149.01 129.28 60.64
Last column: nearest neighbours and their distance in Å.
Atoms (fractional coordinates):
Tb (0.0000, 0.0000, 0.0000)  2 Dy 3.43, 6 Sm 3.50-3.53, 2 Tb 3.70
Sm (0.2515, 0.7515, 0.5000)  4 Dy 3.50, 2 Tb 3.53, 4 Sm 3.62-3.70
Sm (0.5110, 0.5110, 0.0000)  2 Dy 3.49, 4 Tb 3.50, 4 Sm 3.62-3.70
Dy (0.7586, 0.2586, 0.5000)  2 Tb 3.43, 6 Sm 3.49-3.50, 2 Dy 3.70

=====

Below is an optimized crystal structure of Tb12Sm5Dy, with properties calculated at the PBE level.

Output
Volume in A^3/atom: 32.708
DOS(E_F) in states/eV/atom: 1.8244
Symmetry: C2/m (12)
Calculated total energy in eV/atom: -4.544
Size of the total moment in μB per cell: 0.0

a b c (Å): 10.3779 10.3779 5.9818
angles (deg): 90.01 90.01 113.96
Last column: nearest neighbours and their distance in Å.
Atoms (fractional coordinates):
Tb (0.0094, 0.3417, 0.4497)  3 Sm 3.34-3.68, 5 Tb 3.39-3.73, 1 Dy 3.52
Tb (0.1573, 0.4910, 0.9497)  4 Sm 3.35-3.68, 5 Tb 3.40-3.74
Tb (0.1769, 0.1769, 0.0553)  1 Dy 3.33, 4 Tb 3.41, 3 Sm 3.52-3.67
Tb (0.3217, 0.3217, 0.5551)  3 Sm 3.34-3.54, 4 Tb 3.39-3.41, 1 Dy 3.65
Tb (0.3417, 0.0094, 0.4497)  3 Sm 3.34-3.68, 5 Tb 3.39-3.73, 1 Dy 3.52
Tb (0.4910, 0.1573, 0.9497)  4 Sm 3.35-3.68, 5 Tb 3.40-3.74
Tb (0.5090, 0.8427, 0.0503)  4 Sm 3.35-3.68, 5 Tb 3.40-3.74
Tb (0.6583, 0.9906, 0.5503)  3 Sm 3.34-3.68, 5 Tb 3.39-3.73, 1 Dy 3.52
Tb (0.6783, 0.6783, 0.4449)  3 Sm 3.34-3.54, 4 Tb 3.39-3.41, 1 Dy 3.65
Tb (0.8231, 0.8231, 0.9447)  1 Dy 3.33, 4 Tb 3.41, 3 Sm 3.52-3.67
Tb (0.8427, 0.5090, 0.0503)  4 Sm 3.35-3.68, 5 Tb 3.40-3.74
Tb (0.9906, 0.6583, 0.5503)  3 Sm 3.34-3.68, 5 Tb 3.39-3.73, 1 Dy 3.52
Sm (0.1652, 0.8348, 0.0000)  8 Tb 3.34-3.68
Sm (0.3341, 0.6659, 0.5000)  8 Tb 3.35-3.68
Sm (0.5000, 0.5000, 0.0000)  8 Tb 3.34-3.67
Sm (0.6659, 0.3341, 0.5000)  8 Tb 3.35-3.68
Sm (0.8348, 0.1652, 0.0000)  8 Tb 3.34-3.68
Dy (0.0000, 0.0000, 0.5000)  8 Tb 3.33-3.65